# LuThZnMo PBE optimized geometry
data_LuThZnMo
_chemical_formula_sum 'Lu1 Th1 Zn1 Mo1'
_cell_length_a 5.017
_cell_length_b 5.017
_cell_length_c 5.017
_cell_angle_alpha 60.00
_cell_angle_beta 60.00
_cell_angle_gamma 60.00
_space_group_name_H-M_alt 'P 1'
_space_group_IT_number 1
loop_
_space_group_symop_operation_xyz
'x,y,z'
loop_
_atom_site_label
_atom_site_fract_x
_atom_site_fract_y
_atom_site_fract_z
Lu1 0.000 0.000 0.000
Th1 0.500 0.500 0.500
Zn1 0.750 0.750 0.750
Mo1 0.250 0.250 0.250
# - Space group: F-43m


# La2TaRh PBE optimized geometry
data_La2TaRh
_chemical_formula_sum 'La2 Ta1 Rh1'
_cell_length_a 9.475
_cell_length_b 9.475
_cell_length_c 9.475
_cell_angle_alpha 21.49
_cell_angle_beta 21.49
_cell_angle_gamma 21.49
_space_group_name_H-M_alt 'P 1'
_space_group_IT_number 1
loop_
_space_group_symop_operation_xyz
'x,y,z'
loop_
_atom_site_label
_atom_site_fract_x
_atom_site_fract_y
_atom_site_fract_z
La1 0.241 0.241 0.241
La2 0.759 0.759 0.759
Ta1 0.000 0.000 0.000
Rh1 0.500 0.500 0.500
# - Space group: R-3m


Energy of formation from the pure elements (computed, eV/atom): 0.03, 0.24